# 1
DFT (PBE) results for an optimized crystal structure of Ho4InRu.

a = 9.590 Å, b = 9.590 Å, c = 9.590 Å
α = 60.00°, β = 60.00°, γ = 60.00°
Fractional coordinates of all 24 atoms:
1 Ho 0.402 0.402 0.402
2 Ho 0.793 0.402 0.402
3 Ho 0.402 0.793 0.402
4 Ho 0.402 0.402 0.793
5 Ho 0.559 0.559 0.941
6 Ho 0.941 0.941 0.559
7 Ho 0.559 0.941 0.559
8 Ho 0.941 0.559 0.941
9 Ho 0.941 0.559 0.559
10 Ho 0.559 0.941 0.941
11 Ho 0.191 0.191 0.809
12 Ho 0.809 0.809 0.191
13 Ho 0.191 0.809 0.191
14 Ho 0.809 0.191 0.809
15 Ho 0.809 0.191 0.191
16 Ho 0.191 0.809 0.809
17 In 0.168 0.168 0.168
18 In 0.497 0.168 0.168
19 In 0.168 0.497 0.168
20 In 0.168 0.168 0.497
21 Ru 0.611 0.611 0.611
22 Ru 0.168 0.611 0.611
23 Ru 0.611 0.168 0.611
24 Ru 0.611 0.611 0.168

**Fermi-level density of states**: 5.08 states/eV/f.u.
**Distance to the lowest polymorph of the same formula**: 0.0 meV/atom
**Electronic total energy**: -5.464 eV/atom

# 2
DFT (PBE) results for an optimized crystal structure of Tb8MgHg2.

a = 5.521 Å, b = 8.606 Å, c = 8.606 Å
α = 118.44°, β = 100.80°, γ = 100.80°
Fractional coordinates of all 11 atoms:
1 Tb 0.895 0.906 0.676
2 Tb 0.895 0.676 0.906
3 Tb 0.302 0.600 0.600
4 Tb 0.500 0.776 0.224
5 Tb 0.500 0.224 0.776
6 Tb 0.698 0.400 0.400
7 Tb 0.105 0.324 0.094
8 Tb 0.105 0.094 0.324
9 Mg 0.500 0.000 0.000
10 Hg 0.000 0.305 0.695
11 Hg 0.000 0.695 0.305

**Fermi-level density of states**: 14.50 states/eV/f.u.
**Distance to the lowest polymorph of the same formula**: 116.1 meV/atom
**Electronic total energy**: -3.624 eV/atom

# 3
DFT (PBE) results for an optimized crystal structure of BaCa4Hg4.

a = 6.227 Å, b = 10.290 Å, c = 10.290 Å
α = 90.00°, β = 90.00°, γ = 90.00°
Fractional coordinates of all 18 atoms:
1 Ba 0.000 0.000 0.000
2 Ba 0.500 0.500 0.500
3 Ca 0.404 0.346 0.894
4 Ca 0.904 0.606 0.846
5 Ca 0.404 0.654 0.106
6 Ca 0.096 0.154 0.606
7 Ca 0.596 0.894 0.654
8 Ca 0.096 0.846 0.394
9 Ca 0.904 0.394 0.154
10 Ca 0.596 0.106 0.346
11 Hg 0.595 0.800 0.353
12 Hg 0.595 0.200 0.647
13 Hg 0.095 0.853 0.700
14 Hg 0.905 0.300 0.853
15 Hg 0.905 0.700 0.147
16 Hg 0.405 0.353 0.200
17 Hg 0.405 0.647 0.800
18 Hg 0.095 0.147 0.300

**Fermi-level density of states**: 5.59 states/eV/f.u.
**Electronic total energy**: -1.627 eV/atom

# 4
DFT (PBE) results for an optimized crystal structure of RePtN.

a = 5.521 Å, b = 2.816 Å, c = 10.151 Å
α = 90.00°, β = 101.77°, γ = 90.00°
Fractional coordinates of all 12 atoms:
1 Re 0.834 0.000 0.976
2 Re 0.834 0.500 0.476
3 Re 0.955 0.000 0.726
4 Re 0.955 0.500 0.226
5 Pt 0.421 0.000 0.407
6 Pt 0.421 0.500 0.907
7 Pt 0.516 0.000 0.152
8 Pt 0.516 0.500 0.652
9 N 0.124 0.000 0.133
10 N 0.124 0.500 0.633
11 N 0.032 0.000 0.387
12 N 0.032 0.500 0.887

**Fermi-level density of states**: 1.67 states/eV/f.u.
**Distance to the lowest polymorph of the same formula**: 127.6 meV/atom
**ΔE_f (raw)**: 0.409 eV per formula unit
**Electronic total energy**: -8.802 eV/atom